Record 1
The following is a DFT calculation (PBE-GGA) of a relaxed ErAlAu crystal.

## Properties
Calculated total energy, eV/cell: -55.90
D(E_F), states/eV/f.u.: 1.67
Space-group type: Pnma (62)
ΔH_f (0 K), eV/atom: -0.798

a = 7.142 Å, b = 4.463 Å, c = 7.755 Å
α = 90.00°, β = 90.00°, γ = 90.00°
Atoms (fractional coordinates):
Er 0.009 0.250 0.198
Er 0.491 0.750 0.698
Er 0.509 0.250 0.302
Er 0.991 0.750 0.802
Al 0.177 0.250 0.579
Al 0.323 0.750 0.079
Al 0.677 0.250 0.921
Al 0.823 0.750 0.421
Au 0.214 0.750 0.406
Au 0.286 0.250 0.906
Au 0.714 0.750 0.094
Au 0.786 0.250 0.594

Record 2
The following is a DFT calculation (PBE-GGA) of a relaxed ErAl8Au2 crystal.

## Properties
Calculated total energy, eV/cell: -43.59
D(E_F), states/eV/f.u.: 3.07
Space-group type: C2/m (12)
ΔH_f (0 K), eV/atom: -0.230

a = 8.547 Å, b = 8.547 Å, c = 4.619 Å
α = 96.12°, β = 96.12°, γ = 37.39°
Atoms (fractional coordinates):
Er 0.000 0.000 0.000
Al 0.137 0.652 0.457
Al 0.193 0.193 0.105
Al 0.348 0.863 0.543
Al 0.413 0.413 0.976
Al 0.587 0.587 0.024
Al 0.652 0.137 0.457
Al 0.807 0.807 0.895
Al 0.863 0.348 0.543
Au 0.265 0.265 0.646
Au 0.735 0.735 0.354

Record 3
The following is a DFT calculation (PBE-GGA) of a relaxed Er4Al3Au crystal.

## Properties
Calculated total energy, eV/cell: -36.80
D(E_F), states/eV/f.u.: 4.54
Space-group type: P4/mmm (123)
ΔH_f (0 K), eV/atom: -0.505

a = 3.570 Å, b = 3.570 Å, c = 14.305 Å
α = 90.00°, β = 90.00°, γ = 90.00°
Atoms (fractional coordinates):
Er 0.000 0.000 0.123
Er 0.000 0.000 0.376
Er 0.000 0.000 0.624
Er 0.000 0.000 0.877
Al 0.500 0.500 0.252
Al 0.500 0.500 0.500
Al 0.500 0.500 0.748
Au 0.500 0.500 0.000

Record 4
The following is a DFT calculation (PBE-GGA) of a relaxed ErAlAu crystal.

## Properties
Calculated total energy, eV/cell: -83.57
D(E_F), states/eV/f.u.: 1.66
Space-group type: P2_1/m (11)
ΔH_f (0 K), eV/atom: -0.782

a = 7.135 Å, b = 4.249 Å, c = 12.307 Å
α = 90.00°, β = 90.22°, γ = 90.00°
Atoms (fractional coordinates):
Er 0.009 0.250 0.374
Er 0.147 0.250 0.083
Er 0.488 0.750 0.703
Er 0.512 0.250 0.297
Er 0.853 0.750 0.917
Er 0.991 0.750 0.626
Al 0.156 0.250 0.796
Al 0.338 0.750 0.457
Al 0.486 0.750 0.089
Al 0.514 0.250 0.911
Al 0.662 0.250 0.543
Al 0.844 0.750 0.204
Au 0.221 0.750 0.248
Au 0.274 0.750 0.911
Au 0.278 0.250 0.574
Au 0.722 0.750 0.426
Au 0.726 0.250 0.089
Au 0.779 0.250 0.752

Record 5
The following is a DFT calculation (PBE-GGA) of a relaxed Er6Al2Au crystal.

## Properties
Calculated total energy, eV/cell: -39.75
D(E_F), states/eV/f.u.: 8.90
Space-group type: Immm (71)
ΔH_f (0 K), eV/atom: -0.179

a = 8.614 Å, b = 8.614 Å, c = 8.614 Å
α = 146.63°, β = 131.55°, γ = 60.10°
Atoms (fractional coordinates):
Er 0.081 0.336 0.745
Er 0.244 0.000 0.244
Er 0.410 0.664 0.745
Er 0.590 0.336 0.255
Er 0.756 0.000 0.756
Er 0.919 0.664 0.255
Al 0.333 0.833 0.500
Al 0.667 0.167 0.500
Au 0.000 0.500 0.500

Record 6
The following is a DFT calculation (PBE-GGA) of a relaxed ErAl3Au10 crystal.

## Properties
Calculated total energy, eV/cell: -105.15
D(E_F), states/eV/f.u.: 4.15
Space-group type: Fm-3m (225)
ΔH_f (0 K), eV/atom: -0.287

a = 9.162 Å, b = 9.162 Å, c = 9.162 Å
α = 60.00°, β = 60.00°, γ = 60.00°
Atoms (fractional coordinates):
Er 0.250 0.250 0.250
Er 0.750 0.750 0.750
Al 0.234 0.234 0.766
Al 0.234 0.766 0.234
Al 0.234 0.766 0.766
Al 0.766 0.234 0.234
Al 0.766 0.234 0.766
Al 0.766 0.766 0.234
Au 0.119 0.119 0.119
Au 0.119 0.119 0.642
Au 0.119 0.642 0.119
Au 0.157 0.500 0.500
Au 0.157 0.500 0.843
Au 0.157 0.843 0.500
Au 0.358 0.881 0.881
Au 0.500 0.157 0.500
Au 0.500 0.157 0.843
Au 0.500 0.500 0.157
Au 0.500 0.500 0.843
Au 0.500 0.843 0.157
Au 0.500 0.843 0.500
Au 0.642 0.119 0.119
Au 0.843 0.157 0.500
Au 0.843 0.500 0.157
Au 0.843 0.500 0.500
Au 0.881 0.358 0.881
Au 0.881 0.881 0.358
Au 0.881 0.881 0.881

Record 7
The following is a DFT calculation (PBE-GGA) of a relaxed Er6AlAu2 crystal.

## Properties
Calculated total energy, eV/cell: -83.93
D(E_F), states/eV/f.u.: 8.19
Space-group type: Immm (71)
ΔH_f (0 K), eV/atom: -0.477

a = 8.513 Å, b = 8.513 Å, c = 8.513 Å
α = 111.93°, β = 110.93°, γ = 105.62°
Atoms (fractional coordinates):
Er 0.040 0.827 0.213
Er 0.242 0.545 0.303
Er 0.242 0.939 0.697
Er 0.277 0.320 0.596
Er 0.277 0.680 0.957
Er 0.386 0.173 0.213
Er 0.614 0.827 0.787
Er 0.723 0.320 0.043
Er 0.723 0.680 0.404
Er 0.758 0.061 0.303
Er 0.758 0.455 0.697
Er 0.960 0.173 0.787
Al 0.000 0.500 0.500
Al 0.500 0.000 0.500
Au 0.000 0.158 0.158
Au 0.000 0.842 0.842
Au 0.364 0.364 0.000
Au 0.636 0.636 0.000

Record 8
The following is a DFT calculation (PBE-GGA) of a relaxed Er4Al3Au crystal.

## Properties
Calculated total energy, eV/cell: -36.80
D(E_F), states/eV/f.u.: 7.33
Space-group type: Pmm2 (25)
ΔH_f (0 K), eV/atom: -0.506

a = 3.738 Å, b = 4.471 Å, c = 11.376 Å
α = 90.00°, β = 90.00°, γ = 90.00°
Atoms (fractional coordinates):
Er 0.000 0.000 0.000
Er 0.000 0.500 0.293
Er 0.500 0.000 0.489
Er 0.500 0.500 0.802
Al 0.000 0.000 0.714
Al 0.000 0.500 0.576
Al 0.500 0.500 0.073
Au 0.500 0.000 0.221

Record 9
The following is a DFT calculation (PBE-GGA) of a relaxed Er4AlAu2 crystal.

## Properties
Calculated total energy, eV/cell: -31.78
D(E_F), states/eV/f.u.: 7.99
Space-group type: R-3m (166)
ΔH_f (0 K), eV/atom: -0.462

a = 9.401 Å, b = 9.401 Å, c = 9.401 Å
α = 30.21°, β = 30.21°, γ = 30.21°
Atoms (fractional coordinates):
Er 0.122 0.122 0.122
Er 0.293 0.293 0.293
Er 0.707 0.707 0.707
Er 0.878 0.878 0.878
Al 0.500 0.500 0.500
Au 0.403 0.403 0.403
Au 0.597 0.597 0.597

Record 10
The following is a DFT calculation (PBE-GGA) of a relaxed Er3Al2Au4 crystal.

## Properties
Calculated total energy, eV/cell: -41.57
D(E_F), states/eV/f.u.: 4.29
Space-group type: C2/m (12)
ΔH_f (0 K), eV/atom: -0.810

a = 5.831 Å, b = 5.831 Å, c = 8.642 Å
α = 114.01°, β = 114.01°, γ = 45.79°
Atoms (fractional coordinates):
Er 0.000 0.000 0.000
Er 0.355 0.355 0.311
Er 0.645 0.645 0.689
Al 0.347 0.347 0.674
Al 0.653 0.653 0.326
Au 0.081 0.081 0.402
Au 0.285 0.285 0.928
Au 0.715 0.715 0.072
Au 0.919 0.919 0.598

Record 11
The following is a DFT calculation (PBE-GGA) of a relaxed ErAlGaAu3 crystal.

## Properties
Calculated total energy, eV/cell: -46.40
D(E_F), states/eV/f.u.: 2.85
Space-group type: Cmcm (63)
ΔH_f (0 K), eV/atom: -0.339

a = 8.603 Å, b = 8.603 Å, c = 5.840 Å
α = 90.00°, β = 90.00°, γ = 140.06°
Atoms (fractional coordinates):
Er 0.172 0.828 0.750
Er 0.828 0.172 0.250
Al 0.407 0.593 0.250
Al 0.593 0.407 0.750
Ga 0.102 0.898 0.250
Ga 0.898 0.102 0.750
Au 0.248 0.248 0.000
Au 0.248 0.248 0.500
Au 0.256 0.744 0.250
Au 0.744 0.256 0.750
Au 0.752 0.752 0.000
Au 0.752 0.752 0.500

Record 12
The following is a DFT calculation (PBE-GGA) of a relaxed ErAl2GaAu4 crystal.

## Properties
Calculated total energy, eV/cell: -32.04
D(E_F), states/eV/f.u.: 2.91
Space-group type: R-3m (166)
ΔH_f (0 K), eV/atom: -0.482

a = 9.540 Å, b = 9.540 Å, c = 9.540 Å
α = 26.46°, β = 26.46°, γ = 26.46°
Atoms (fractional coordinates):
Er 0.000 0.000 0.000
Al 0.248 0.248 0.248
Al 0.752 0.752 0.752
Ga 0.500 0.500 0.500
Au 0.124 0.124 0.124
Au 0.393 0.393 0.393
Au 0.607 0.607 0.607
Au 0.876 0.876 0.876

Record 13
The following is a DFT calculation (PBE-GGA) of a relaxed Er2Al4GaAu3 crystal.

## Properties
Calculated total energy, eV/cell: -43.32
D(E_F), states/eV/f.u.: 3.85
Space-group type: P-4m2 (115)
ΔH_f (0 K), eV/atom: -0.636

a = 4.216 Å, b = 4.216 Å, c = 10.942 Å
α = 90.00°, β = 90.00°, γ = 90.00°
Atoms (fractional coordinates):
Er 0.000 0.500 0.247
Er 0.500 0.000 0.753
Al 0.000 0.000 0.500
Al 0.000 0.500 0.861
Al 0.500 0.000 0.139
Al 0.500 0.500 0.500
Ga 0.500 0.500 0.000
Au 0.000 0.000 0.000
Au 0.000 0.500 0.637
Au 0.500 0.000 0.363

Record 14
The following is a DFT calculation (PBE-GGA) of a relaxed ErAlGa2Au5 crystal.

## Properties
Calculated total energy, eV/cell: -32.92
D(E_F), states/eV/f.u.: 3.34
Space-group type: Immm (71)
ΔH_f (0 K), eV/atom: -0.241

a = 7.820 Å, b = 7.820 Å, c = 7.820 Å
α = 144.55°, β = 135.70°, γ = 57.97°
Atoms (fractional coordinates):
Er 0.000 0.000 0.000
Al 0.500 0.500 0.000
Ga 0.311 0.811 0.500
Ga 0.689 0.189 0.500
Au 0.087 0.351 0.736
Au 0.385 0.649 0.736
Au 0.500 0.000 0.500
Au 0.615 0.351 0.264
Au 0.913 0.649 0.264

Record 15
The following is a DFT calculation (PBE-GGA) of a relaxed Er2Al3GaAu4 crystal.

## Properties
Calculated total energy, eV/cell: -43.01
D(E_F), states/eV/f.u.: 3.20
Space-group type: P-4m2 (115)
ΔH_f (0 K), eV/atom: -0.652

a = 4.308 Å, b = 4.308 Å, c = 10.612 Å
α = 90.00°, β = 90.00°, γ = 90.00°
Atoms (fractional coordinates):
Er 0.000 0.500 0.248
Er 0.500 0.000 0.752
Al 0.000 0.500 0.868
Al 0.500 0.000 0.132
Al 0.500 0.500 0.500
Ga 0.000 0.000 0.500
Au 0.000 0.000 0.000
Au 0.000 0.500 0.637
Au 0.500 0.000 0.363
Au 0.500 0.500 0.000

Record 16
The following is a DFT calculation (PBE-GGA) of a relaxed ErAlGaAu crystal.

## Properties
Calculated total energy, eV/cell: -16.78
D(E_F), states/eV/f.u.: 0.18
Space-group type: F-43m (216)
ΔH_f (0 K), eV/atom: -0.543

a = 4.800 Å, b = 4.800 Å, c = 4.800 Å
α = 60.00°, β = 60.00°, γ = 60.00°
Atoms (fractional coordinates):
Er 0.000 0.000 0.000
Al 0.500 0.500 0.500
Ga 0.750 0.750 0.750
Au 0.250 0.250 0.250

Record 17
The following is a DFT calculation (PBE-GGA) of a relaxed Er2AlGa3Au4 crystal.

## Properties
Calculated total energy, eV/cell: -40.97
D(E_F), states/eV/f.u.: 4.28
Space-group type: P-4m2 (115)
ΔH_f (0 K), eV/atom: -0.591

a = 4.297 Å, b = 4.297 Å, c = 10.740 Å
α = 90.00°, β = 90.00°, γ = 90.00°
Atoms (fractional coordinates):
Er 0.000 0.500 0.244
Er 0.500 0.000 0.756
Al 0.000 0.000 0.500
Ga 0.000 0.500 0.864
Ga 0.500 0.000 0.136
Ga 0.500 0.500 0.500
Au 0.000 0.000 0.000
Au 0.000 0.500 0.634
Au 0.500 0.000 0.366
Au 0.500 0.500 0.000

Record 18
The following is a DFT calculation (PBE-GGA) of a relaxed GdErAlAu crystal.

## Properties
Calculated total energy, eV/cell: -27.91
D(E_F), states/eV/f.u.: 3.29
Space-group type: F-43m (216)
ΔH_f (0 K), eV/atom: -0.563

a = 5.133 Å, b = 5.133 Å, c = 5.133 Å
α = 60.00°, β = 60.00°, γ = 60.00°
Atoms (fractional coordinates):
Gd 0.000 0.000 0.000
Er 0.500 0.500 0.500
Al 0.750 0.750 0.750
Au 0.250 0.250 0.250

Record 19
The following is a DFT calculation (PBE-GGA) of a relaxed ErAlHgAu crystal.

## Properties
Calculated total energy, eV/cell: -13.86
D(E_F), states/eV/f.u.: 2.05
Space-group type: F-43m (216)
ΔH_f (0 K), eV/atom: -0.495

a = 4.893 Å, b = 4.893 Å, c = 4.893 Å
α = 60.00°, β = 60.00°, γ = 60.00°
Atoms (fractional coordinates):
Er 0.000 0.000 0.000
Al 0.500 0.500 0.500
Hg 0.750 0.750 0.750
Au 0.250 0.250 0.250

Record 20
The following is a DFT calculation (PBE-GGA) of a relaxed Er2Al4HgAu3 crystal.

## Properties
Calculated total energy, eV/cell: -40.00
D(E_F), states/eV/f.u.: 4.44
Space-group type: P-4m2 (115)
ΔH_f (0 K), eV/atom: -0.577

a = 4.318 Å, b = 4.318 Å, c = 10.744 Å
α = 90.00°, β = 90.00°, γ = 90.00°
Atoms (fractional coordinates):
Er 0.000 0.500 0.247
Er 0.500 0.000 0.753
Al 0.000 0.000 0.000
Al 0.000 0.500 0.642
Al 0.500 0.000 0.358
Al 0.500 0.500 0.000
Hg 0.000 0.000 0.500
Au 0.000 0.500 0.869
Au 0.500 0.000 0.131
Au 0.500 0.500 0.500

Record 21
The following is a DFT calculation (PBE-GGA) of a relaxed HoEr2AlAu4 crystal.

## Properties
Calculated total energy, eV/cell: -36.77
D(E_F), states/eV/f.u.: 3.57
Space-group type: R-3m (166)
ΔH_f (0 K), eV/atom: -0.777

a = 8.632 Å, b = 8.632 Å, c = 8.632 Å
α = 33.10°, β = 33.10°, γ = 33.10°
Atoms (fractional coordinates):
Ho 0.000 0.000 0.000
Er 0.243 0.243 0.243
Er 0.757 0.757 0.757
Al 0.500 0.500 0.500
Au 0.122 0.122 0.122
Au 0.380 0.380 0.380
Au 0.620 0.620 0.620
Au 0.878 0.878 0.878

Record 22
The following is a DFT calculation (PBE-GGA) of a relaxed Er2Al4IrAu3 crystal.

## Properties
Calculated total energy, eV/cell: -49.96
D(E_F), states/eV/f.u.: 4.07
Space-group type: P-4m2 (115)
ΔH_f (0 K), eV/atom: -0.717

a = 4.164 Å, b = 4.164 Å, c = 10.969 Å
α = 90.00°, β = 90.00°, γ = 90.00°
Atoms (fractional coordinates):
Er 0.000 0.500 0.242
Er 0.500 0.000 0.758
Al 0.000 0.000 0.500
Al 0.000 0.500 0.870
Al 0.500 0.000 0.130
Al 0.500 0.500 0.500
Ir 0.500 0.500 0.000
Au 0.000 0.000 0.000
Au 0.000 0.500 0.643
Au 0.500 0.000 0.357